[1]
Density functional theory data (PBE) for Sr2AcCeAs4 after structural relaxation.

Geometry as CIF:
```
data_Sr2AcCeAs4
_cell_length_a 7.682
_cell_length_b 4.447
_cell_length_c 7.696
_cell_angle_alpha 90.00
_cell_angle_beta 109.58
_cell_angle_gamma 90.00
_symmetry_space_group_name_H-M 'P 1 2/m 1'
_symmetry_Int_Tables_number 10
loop_
_symmetry_equiv_pos_as_xyz
'x,y,z'
'-x,-y,-z'
'-x,y,-z'
'x,-y,z'
loop_
_atom_site_label
_atom_site_fract_x
_atom_site_fract_y
_atom_site_fract_z
Sr1 0.000 0.000 0.000
Sr2 0.000 0.500 0.500
Ac1 0.500 0.000 0.500
Ce1 0.500 0.500 0.000
As1 0.265 0.500 0.238
As2 0.274 0.000 0.773
```

[2]
Density functional theory data (PBE) for AcTb2Ce3As6 after structural relaxation.

Geometry as CIF:
```
data_AcTb2Ce3As6
_cell_length_a 7.371
_cell_length_b 12.765
_cell_length_c 7.359
_cell_angle_alpha 90.00
_cell_angle_beta 109.56
_cell_angle_gamma 90.00
_symmetry_space_group_name_H-M 'C 1 2/m 1'
_symmetry_Int_Tables_number 12
loop_
_symmetry_equiv_pos_as_xyz
'x,y,z'
'-x,-y,-z'
'-x,y,-z'
'x,-y,z'
'x+1/2,y+1/2,z'
'-x+1/2,-y+1/2,-z'
'-x+1/2,y+1/2,-z'
'x+1/2,-y+1/2,z'
loop_
_atom_site_label
_atom_site_fract_x
_atom_site_fract_y
_atom_site_fract_z
Ac1 0.000 0.000 0.000
Tb1 0.000 0.332 0.000
Ce1 0.000 0.164 0.500
Ce2 0.000 0.500 0.500
As1 0.238 0.500 0.253
As2 0.242 0.327 0.744
```

[3]
Density functional theory data (PBE) for AcTb2CeAs4 after structural relaxation.

Geometry as CIF:
```
data_AcTb2CeAs4
_cell_length_a 7.384
_cell_length_b 4.268
_cell_length_c 7.401
_cell_angle_alpha 90.00
_cell_angle_beta 109.42
_cell_angle_gamma 90.00
_symmetry_space_group_name_H-M 'P 1 2/m 1'
_symmetry_Int_Tables_number 10
loop_
_symmetry_equiv_pos_as_xyz
'x,y,z'
'-x,-y,-z'
'-x,y,-z'
'x,-y,z'
loop_
_atom_site_label
_atom_site_fract_x
_atom_site_fract_y
_atom_site_fract_z
Ac1 0.000 0.000 0.000
Tb1 0.500 0.000 0.500
Tb2 0.500 0.500 0.000
Ce1 0.000 0.500 0.500
As1 0.260 0.000 0.745
As2 0.266 0.500 0.264
```

no.,formation enthalpy at 0 K (eV/f.u.),D(E_F) (states/eV/atom)
1,-9.685,1.24
2,-17.369,1.42
3,-11.727,0.78